Record 1
Sc2ZnRhC | PBE-GGA | relaxed

a b c (Å): 4.538 4.538 3.936
angles (deg): 90.00 90.00 90.00
Space group P4/mmm (No. 123)
Asymmetric unit:
Sc: 0.000 0.500 0.000
Zn: 0.000 0.000 0.500
Rh: 0.500 0.500 0.500
C: 0.500 0.500 0.000

Results
The value obtained for the formation energy from the elements is -2.4 eV per formula unit. The calculation puts the total energy at -32.92 eV per cell. For the total magnetic moment, the calculation gives 0.00 μB per formula unit.

=====

Record 2
LaTc4As12 | PBE-GGA | relaxed

a b c (Å): 8.717 8.717 8.717
angles (deg): 90.00 90.00 90.00
Space group Im-3 (No. 204)
Asymmetric unit:
La: 0.000 0.000 0.000
Tc: 0.250 0.250 0.250
As: 0.000 0.347 0.151

Results
The value obtained for the formation energy from the elements is -4.8 eV per formula unit. The calculation puts the total energy at -213.94 eV per cell. For the total magnetic moment, the calculation gives 2.21 μB per formula unit.

=====

Record 3
CsLaBr3 | PBE-GGA | relaxed

a b c (Å): 5.939 5.939 5.939
angles (deg): 90.00 90.00 90.00
Space group Pm-3m (No. 221)
Asymmetric unit:
Cs: 0.000 0.000 0.000
La: 0.500 0.500 0.500
Br: 0.000 0.500 0.500

Results
The calculation puts the total energy at -19.30 eV per cell. For the total magnetic moment, the calculation gives 0.53 μB per formula unit. The value obtained for the energy relative to the elements, uncorrected is -1.699 eV per atom.

=====

Record 4
SrCl | PBE-GGA | relaxed

a b c (Å): 4.4692 4.4692 13.5328
angles (deg): 90.00 90.00 120.00
Space group R3m (No. 160, hexagonal axes)
Asymmetric unit:
Sr: 0.0000 0.0000 0.0000
Cl: 0.0000 0.0000 0.7826

Results
The calculation puts the total energy at -20.08 eV per cell. For the total magnetic moment, the calculation gives 0.75 μB per formula unit. The value obtained for the energy relative to the elements, uncorrected is -1.583 eV per atom.

=====

Repeat the second record exactly.
LaTc4As12 | PBE-GGA | relaxed

a b c (Å): 8.717 8.717 8.717
angles (deg): 90.00 90.00 90.00
Space group Im-3 (No. 204)
Asymmetric unit:
La: 0.000 0.000 0.000
Tc: 0.250 0.250 0.250
As: 0.000 0.347 0.151

Results
The value obtained for the formation energy from the elements is -4.8 eV per formula unit. The calculation puts the total energy at -213.94 eV per cell. For the total magnetic moment, the calculation gives 2.21 μB per formula unit.